The following is a DFT calculation (PBE) of a geometry-optimized CeAgBiO structure.

Output
space group: P4/nmm
formation energy without anion corrections: -1538 meV per atom

a = 4.1131 Å, b = 4.1131 Å, c = 10.4561 Å
α = 90.00°, β = 90.00°, γ = 90.00°
Sites, in units of the cell vectors:
Ce  0.2500  0.2500  0.1120
Ce  0.7500  0.7500  0.8880
Ag  0.2500  0.7500  0.5000
Ag  0.7500  0.2500  0.5000
Bi  0.2500  0.2500  0.7064
Bi  0.7500  0.7500  0.2936
O  0.2500  0.7500  0.0000
O  0.7500  0.2500  0.0000

=====

The following is a DFT calculation (PBE) of a geometry-optimized CePmAgBi structure.

Output
space group: F-43m
DFT formation energy: -0.4100 eV/atom

a = 5.4462 Å, b = 5.4462 Å, c = 5.4462 Å
α = 60.00°, β = 60.00°, γ = 60.00°
Sites, in units of the cell vectors:
Ce  0.0000  0.0000  0.0000
Pm  0.5000  0.5000  0.5000
Ag  0.7500  0.7500  0.7500
Bi  0.2500  0.2500  0.2500

=====

The following is a DFT calculation (PBE) of a geometry-optimized CePrAgBi structure.

Output
space group: F-43m
DFT formation energy: -0.4153 eV/atom

a = 5.4844 Å, b = 5.4844 Å, c = 5.4844 Å
α = 60.00°, β = 60.00°, γ = 60.00°
Sites, in units of the cell vectors:
Ce  0.0000  0.0000  0.0000
Pr  0.5000  0.5000  0.5000
Ag  0.2500  0.2500  0.2500
Bi  0.7500  0.7500  0.7500

=====

| no. | N(E_F) (states/eV per cell) | V (Å³ per cell) |
| --- | --- | --- |
| 1 | 9.35 | 176.9 |
| 2 | 10.67 | 114.2 |
| 3 | 10.79 | 116.6 |